VASP calculation (PBE+U) on a relaxed structure of VIO2F.

abc: 4.5112 4.5112 4.1136
angles: 90.00 90.00 90.00
Fractional positions:
I 0.0000 0.0000 0.5000
F 0.0000 0.0000 0.0000
O 0.0000 0.5000 0.0000
O 0.5000 0.0000 0.0000
V 0.5000 0.5000 0.5000

## Properties
N(E_F) = 0.408 states/eV/atom
E_tot = -17.357 eV/f.u.
Space-group type = P4/mmm